Computed, not measured: a crystal of Tb5Ru2O12 relaxed with PBEsol at the meta-GGA SCAN level of DFT.

Size of the total moment ... 0.16 μB/atom
ΔE_f (raw) ... -56.8 eV per formula unit

Cell: 6.8524 6.8524 7.2242 Å, 105.29 105.29 48.29°
Closest atoms and distances in Å follow each position.
Element x y z (fractional)
Tb: 0.0000 0.0000 0.0000  6 O 2.30-2.36
Tb: 0.3004 0.3004 0.1386  7 O 2.25-2.42
Tb: 0.3036 0.3036 0.6657  7 O 2.26-2.38
Tb: 0.6964 0.6964 0.3343  7 O 2.26-2.38
Tb: 0.6996 0.6996 0.8614  7 O 2.25-2.42
Ru: 0.2744 0.7256 0.5000  6 O 1.96-1.98
Ru: 0.7256 0.2744 0.5000  6 O 1.96-1.98
O: 0.0002 0.0002 0.3270  2 Ru 1.98
O: 0.9998 0.9998 0.6730  2 Ru 1.98
O: 0.0948 0.5990 0.9251  4 Tb 2.25-2.30
O: 0.1050 0.5675 0.4172  1 Ru 1.96
O: 0.4010 0.9052 0.0749  4 Tb 2.25-2.30
O: 0.4325 0.8950 0.5828  1 Ru 1.96
O: 0.4995 0.4995 0.7111  2 Ru 1.98
O: 0.5005 0.5005 0.2889  2 Ru 1.98
O: 0.5675 0.1050 0.4172  1 Ru 1.96
O: 0.5990 0.0948 0.9251  4 Tb 2.25-2.30
O: 0.8950 0.4325 0.5828  1 Ru 1.96
O: 0.9052 0.4010 0.0749  4 Tb 2.25-2.30

---

Computed, not measured: a crystal of TeRu2O relaxed with PBEsol at the meta-GGA SCAN level of DFT.

Size of the total moment ... 0.00 μB/atom
ΔE_f (raw) ... 1.2 eV per formula unit

Cell: 6.0161 6.0161 6.0161 Å, 90.00 90.00 90.00°
Closest atoms and distances in Å follow each position.
Element x y z (fractional)
Te: 0.0000 0.0000 0.0000  8 Ru 2.61
Te: 0.0000 0.5000 0.5000  8 Ru 2.61
Te: 0.5000 0.0000 0.5000  8 Ru 2.61
Te: 0.5000 0.5000 0.0000  8 Ru 2.61
Ru: 0.2500 0.2500 0.2500  4 O 2.61, 4 Te 2.61
Ru: 0.2500 0.2500 0.7500  4 O 2.61, 4 Te 2.61
Ru: 0.2500 0.7500 0.2500  4 O 2.61, 4 Te 2.61
Ru: 0.2500 0.7500 0.7500  4 O 2.61, 4 Te 2.61
Ru: 0.7500 0.2500 0.2500  4 O 2.61, 4 Te 2.61
Ru: 0.7500 0.2500 0.7500  4 O 2.61, 4 Te 2.61
Ru: 0.7500 0.7500 0.2500  4 O 2.61, 4 Te 2.61
Ru: 0.7500 0.7500 0.7500  4 O 2.61, 4 Te 2.61
O: 0.0000 0.0000 0.5000  8 Ru 2.61
O: 0.0000 0.5000 0.0000  8 Ru 2.61
O: 0.5000 0.0000 0.0000  8 Ru 2.61
O: 0.5000 0.5000 0.5000  8 Ru 2.61

---

Computed, not measured: a crystal of TeRuO3 relaxed with PBEsol at the meta-GGA SCAN level of DFT.

Size of the total moment ... 0.00 μB/atom
ΔE_f (raw) ... -2.0 eV per formula unit

Cell: 3.9068 3.9068 3.9068 Å, 90.00 90.00 90.00°
Closest atoms and distances in Å follow each position.
Element x y z (fractional)
Te: 0.0000 0.0000 0.0000  12 O 2.76
Ru: 0.5000 0.5000 0.5000  6 O 1.95
O: 0.0000 0.5000 0.5000  2 Ru 1.95
O: 0.5000 0.0000 0.5000  2 Ru 1.95
O: 0.5000 0.5000 0.0000  2 Ru 1.95

---

Computed, not measured: a crystal of Tl2Ru2O7 relaxed with PBEsol at the meta-GGA SCAN level of DFT.

Size of the total moment ... 0.36 μB/atom
ΔE_f (raw) ... -11.2 eV per formula unit

Cell: 7.2212 7.2212 7.2212 Å, 60.00 60.00 60.00°
Closest atoms and distances in Å follow each position.
Element x y z (fractional)
Tl: 0.0000 0.0000 0.0000  2 O 2.21
Tl: 0.0000 0.0000 0.5000  2 O 2.21
Tl: 0.0000 0.5000 0.0000  2 O 2.21
Tl: 0.5000 0.0000 0.0000  2 O 2.21
Ru: 0.0000 0.5000 0.5000  6 O 1.94
Ru: 0.5000 0.0000 0.5000  6 O 1.94
Ru: 0.5000 0.5000 0.0000  6 O 1.94
Ru: 0.5000 0.5000 0.5000  6 O 1.94
O: 0.1250 0.1250 0.1250  4 Tl 2.21
O: 0.1798 0.1798 0.5702  2 Ru 1.94
O: 0.1798 0.5702 0.1798  2 Ru 1.94
O: 0.1798 0.5702 0.5702  2 Ru 1.94
O: 0.4298 0.4298 0.8202  2 Ru 1.94
O: 0.4298 0.8202 0.4298  2 Ru 1.94
O: 0.4298 0.8202 0.8202  2 Ru 1.94
O: 0.5702 0.1798 0.1798  2 Ru 1.94
O: 0.5702 0.1798 0.5702  2 Ru 1.94
O: 0.5702 0.5702 0.1798  2 Ru 1.94
O: 0.8202 0.4298 0.4298  2 Ru 1.94
O: 0.8202 0.4298 0.8202  2 Ru 1.94
O: 0.8202 0.8202 0.4298  2 Ru 1.94
O: 0.8750 0.8750 0.8750  4 Tl 2.21

---

Computed, not measured: a crystal of TlRuWO2 relaxed with PBEsol at the meta-GGA SCAN level of DFT.

Size of the total moment ... 0.05 μB/atom
ΔE_f (raw) ... -3.7 eV per formula unit

Cell: 3.8289 3.8289 5.1857 Å, 90.00 90.00 90.00°
Closest atoms and distances in Å follow each position.
Element x y z (fractional)
Tl: 0.0000 0.0000 0.0000  4 Ru 2.71
Ru: 0.5000 0.5000 0.0000  2 W 2.59, 4 Tl 2.71
W: 0.5000 0.5000 0.5000  4 O 1.91
O: 0.0000 0.5000 0.5000  2 W 1.91
O: 0.5000 0.0000 0.5000  2 W 1.91

---

Computed, not measured: a crystal of ZrTl2RuO relaxed with PBEsol at the meta-GGA SCAN level of DFT.

Size of the total moment ... 0.51 μB/atom
ΔE_f (raw) ... 0.5 eV per formula unit

Cell: 5.6529 5.6529 3.8304 Å, 90.00 90.00 90.00°
Closest atoms and distances in Å follow each position.
Element x y z (fractional)
Zr: 0.0000 0.0000 0.0000  2 O 1.92
Tl: 0.0000 0.5000 0.0000  2 Zr 2.83
Tl: 0.5000 0.0000 0.0000  2 Zr 2.83
Ru: 0.5000 0.5000 0.5000  8 Tl 3.41
O: 0.0000 0.0000 0.5000  2 Zr 1.92

---

Computed, not measured: a crystal of Tm2Ru2O7 relaxed with PBEsol at the meta-GGA SCAN level of DFT.

Size of the total moment ... 0.36 μB/atom
ΔE_f (raw) ... -27.6 eV per formula unit

Cell: 7.0581 7.0581 7.0581 Å, 60.00 60.00 60.00°
Closest atoms and distances in Å follow each position.
Element x y z (fractional)
Tm: 0.0000 0.0000 0.0000  8 O 2.16-2.40
Tm: 0.0000 0.0000 0.5000  8 O 2.16-2.40
Tm: 0.0000 0.5000 0.0000  8 O 2.16-2.40
Tm: 0.5000 0.0000 0.0000  8 O 2.16-2.40
Ru: 0.0000 0.5000 0.5000  6 O 1.97
Ru: 0.5000 0.0000 0.5000  6 O 1.97
Ru: 0.5000 0.5000 0.0000  6 O 1.97
Ru: 0.5000 0.5000 0.5000  6 O 1.97
O: 0.1250 0.1250 0.1250  4 Tm 2.16
O: 0.1629 0.1629 0.5871  2 Ru 1.97
O: 0.1629 0.5871 0.1629  2 Ru 1.97
O: 0.1629 0.5871 0.5871  2 Ru 1.97
O: 0.4129 0.4129 0.8371  2 Ru 1.97
O: 0.4129 0.8371 0.4129  2 Ru 1.97
O: 0.4129 0.8371 0.8371  2 Ru 1.97
O: 0.5871 0.1629 0.1629  2 Ru 1.97
O: 0.5871 0.1629 0.5871  2 Ru 1.97
O: 0.5871 0.5871 0.1629  2 Ru 1.97
O: 0.8371 0.4129 0.4129  2 Ru 1.97
O: 0.8371 0.4129 0.8371  2 Ru 1.97
O: 0.8371 0.8371 0.4129  2 Ru 1.97
O: 0.8750 0.8750 0.8750  4 Tm 2.16